(1)
An optimized crystal structure of ErTiCo2. Source: Alexandria, functional PBE.

It has space group P4/mmm (No. 123), with a = 3.081 Å, b = 3.081 Å, c = 6.525 Å, α = 90.00°, β = 90.00° and γ = 90.00°. The distinct sites, in fractional coordinates, are Er at (0.000, 0.000, 0.000), Ti at (0.000, 0.000, 0.500) and Co at (0.500, 0.500, 0.291).

The calculation puts the electronic total energy at -6.941 eV per atom. The relative energy among the computed polymorphs is 0.0 meV/atom. As for the density of states at the Fermi level: 3.2 states/eV per cell. For the formation energy, the calculation gives -0.2734 eV/atom.

---

(2)
An optimized crystal structure of Sm2CdGe3Pt4. Source: Alexandria, functional PBE.

It has space group P-4m2 (No. 115), with a = 4.317 Å, b = 4.317 Å, c = 10.636 Å, α = 90.00°, β = 90.00° and γ = 90.00°. The distinct sites, in fractional coordinates, are Sm at (0.000, 0.500, 0.245), Cd at (0.000, 0.000, 0.500), Ge at (0.000, 0.500, 0.874), Ge at (0.500, 0.500, 0.500), Pt at (0.000, 0.000, 0.000), Pt at (0.000, 0.500, 0.649) and Pt at (0.500, 0.500, 0.000).

The calculation puts the electronic total energy at -5.665 eV per atom. As for the density of states at the Fermi level: 5.0 states/eV per cell. For the formation energy, the calculation gives -0.8278 eV/atom.

---

(3)
An optimized crystal structure of RbAgSnPt. Source: Alexandria, functional PBE.

It has space group Cm (No. 8), with a = 8.198 Å, b = 4.706 Å, c = 6.859 Å, α = 90.00°, β = 113.52° and γ = 90.00°. The distinct sites, in fractional coordinates, are Rb at (0.000, 0.000, 0.000), Ag at (0.189, 0.000, 0.568), Sn at (0.480, 0.000, 0.444) and Pt at (0.316, 0.500, 0.448).

The calculation puts the electronic total energy at -3.706 eV per atom. As for the density of states at the Fermi level: 3.6 states/eV per cell. For the formation energy, the calculation gives -0.2401 eV/atom.

---

(4)
An optimized crystal structure of NaPd3. Source: Alexandria, functional PBE.

It has space group Pmm2 (No. 25), with a = 2.792 Å, b = 4.695 Å, c = 4.949 Å, α = 90.00°, β = 90.00° and γ = 90.00°. The distinct sites, in fractional coordinates, are Na at (0.000, 0.000, 0.000), Pd at (0.000, 0.500, 0.654), Pd at (0.500, 0.000, 0.502) and Pd at (0.500, 0.500, 0.166).

The calculation puts the electronic total energy at -4.260 eV per atom. As for the density of states at the Fermi level: 5.6 states/eV per cell. For the formation energy, the calculation gives -0.0361 eV/atom.

---

(5)
An optimized crystal structure of CaY2ScPd. Source: Alexandria, functional PBE.

It has space group P4/mmm (No. 123), with a = 5.651 Å, b = 5.651 Å, c = 4.804 Å, α = 90.00°, β = 90.00° and γ = 90.00°. The distinct sites, in fractional coordinates, are Ca at (0.000, 0.000, 0.000), Y at (0.000, 0.500, 0.500), Sc at (0.500, 0.500, 0.500) and Pd at (0.500, 0.500, 0.000).

The calculation puts the electronic total energy at -5.001 eV per atom. The relative energy among the computed polymorphs is 447.0 meV/atom. As for the density of states at the Fermi level: 4.1 states/eV per cell. For the formation energy, the calculation gives 0.2901 eV/atom.

---

(6)
An optimized crystal structure of Ac2TmGe3Pd4. Source: Alexandria, functional PBE.

It has space group P-4m2 (No. 115), with a = 4.417 Å, b = 4.417 Å, c = 11.211 Å, α = 90.00°, β = 90.00° and γ = 90.00°. The distinct sites, in fractional coordinates, are Ac at (0.000, 0.500, 0.230), Tm at (0.000, 0.000, 0.500), Ge at (0.000, 0.500, 0.881), Ge at (0.500, 0.500, 0.500), Pd at (0.000, 0.000, 0.000), Pd at (0.000, 0.500, 0.652) and Pd at (0.500, 0.500, 0.000).

The calculation puts the electronic total energy at -5.591 eV per atom. As for the density of states at the Fermi level: 5.6 states/eV per cell. For the formation energy, the calculation gives -0.8597 eV/atom.

---

(7)
An optimized crystal structure of Ba2PmTlSe4. Source: Alexandria, functional PBE.

It has space group P2/m (No. 10), with a = 7.731 Å, b = 4.554 Å, c = 8.073 Å, α = 90.00°, β = 108.87° and γ = 90.00°. The distinct sites, in fractional coordinates, are Ba at (0.000, 0.000, 0.000), Ba at (0.000, 0.500, 0.500), Pm at (0.500, 0.000, 0.500), Tl at (0.500, 0.500, 0.000), Se at (0.266, 0.000, 0.728) and Se at (0.274, 0.500, 0.275).

The calculation puts the electronic total energy at -4.756 eV per atom. Its formation energy from raw total energies is -37.90 kcal/mol of atoms.

---

(8)
An optimized crystal structure of Pr8Ge2Pt. Source: Alexandria, functional PBE.

It has space group C2/m (No. 12), with a = 19.552 Å, b = 4.921 Å, c = 7.074 Å, α = 90.00°, β = 103.33° and γ = 90.00°. The distinct sites, in fractional coordinates, are Pr at (0.023, 0.000, 0.282), Pr at (0.095, 0.500, 0.975), Pr at (0.156, 0.500, 0.496), Pr at (0.216, 0.000, 0.831), Ge at (0.183, 0.000, 0.251) and Pt at (0.000, 0.500, 0.500).

The calculation puts the electronic total energy at -5.344 eV per atom. As for the density of states at the Fermi level: 21.8 states/eV per cell. For the formation energy, the calculation gives -0.4791 eV/atom.